1.
Material: CaLa2CeHg4
Method: DFT, PBE-GGA
State: optimized geometry

The value obtained for the magnetization is 1.497 μB per formula unit. For the calculated volume, the calculation gives 232.2 Å³ per cell. As for the calculated formation energy: -3.772 eV/f.u.

Cell: 9.4899 9.4899 9.4899 Å, 33.53 33.53 33.53°
Closest atoms and distances in Å follow each position.
Atoms (fractional coordinates):
Ca 0.0000 0.0000 0.0000  8 Hg 3.36-3.37
La 0.2518 0.2518 0.2518  8 Hg 3.33-3.39
La 0.7482 0.7482 0.7482  8 Hg 3.33-3.39
Ce 0.5000 0.5000 0.5000  8 Hg 3.34-3.35
Hg 0.1254 0.1254 0.1254  3 Ce 3.35, 1 Ca 3.37, 4 La 3.37-3.39
Hg 0.3757 0.3757 0.3757  4 La 3.33, 1 Ce 3.34, 3 Ca 3.36
Hg 0.6243 0.6243 0.6243  4 La 3.33, 1 Ce 3.34, 3 Ca 3.36
Hg 0.8746 0.8746 0.8746  3 Ce 3.35, 1 Ca 3.37, 4 La 3.37-3.39



2.
Material: CaLaCe2Hg4
Method: DFT, PBE-GGA
State: optimized geometry

The value obtained for the magnetization is 2.712 μB per formula unit. For the calculated volume, the calculation gives 227.8 Å³ per cell. As for the calculated formation energy: -3.266 eV/f.u.

Cell: 9.4487 9.4487 9.4487 Å, 33.41 33.41 33.41°
Closest atoms and distances in Å follow each position.
Atoms (fractional coordinates):
Ca 0.0000 0.0000 0.0000  8 Hg 3.29-3.32
La 0.5000 0.5000 0.5000  8 Hg 3.34-3.37
Ce 0.2513 0.2513 0.2513  8 Hg 3.28-3.42
Ce 0.7487 0.7487 0.7487  8 Hg 3.28-3.42
Hg 0.1232 0.1232 0.1232  1 Ca 3.29, 4 Ce 3.32-3.42, 3 La 3.34
Hg 0.3741 0.3741 0.3741  4 Ce 3.28-3.33, 3 Ca 3.32, 1 La 3.37
Hg 0.6259 0.6259 0.6259  4 Ce 3.28-3.33, 3 Ca 3.32, 1 La 3.37
Hg 0.8768 0.8768 0.8768  1 Ca 3.29, 4 Ce 3.32-3.42, 3 La 3.34



3.
Material: LiCaCe2Hg4
Method: DFT, PBE-GGA
State: optimized geometry

The value obtained for the magnetization is 1.961 μB per formula unit. For the calculated volume, the calculation gives 208.3 Å³ per cell. As for the calculated formation energy: -3.053 eV/f.u.

Cell: 9.1468 9.1468 9.1468 Å, 33.56 33.56 33.56°
Closest atoms and distances in Å follow each position.
Atoms (fractional coordinates):
Li 0.0000 0.0000 0.0000  8 Hg 3.15-3.22
Ca 0.5000 0.5000 0.5000  8 Hg 3.26
Ce 0.2521 0.2521 0.2521  8 Hg 3.15-3.37
Ce 0.7479 0.7479 0.7479  8 Hg 3.15-3.37
Hg 0.1219 0.1219 0.1219  1 Li 3.15, 4 Ce 3.23-3.37, 3 Ca 3.26
Hg 0.3739 0.3739 0.3739  4 Ce 3.15-3.22, 3 Li 3.22, 1 Ca 3.26
Hg 0.6261 0.6261 0.6261  4 Ce 3.15-3.22, 3 Li 3.22, 1 Ca 3.26
Hg 0.8781 0.8781 0.8781  1 Li 3.15, 4 Ce 3.23-3.37, 3 Ca 3.26



4.
Material: CaCe2MgHg4
Method: DFT, PBE-GGA
State: optimized geometry

The value obtained for the magnetization is 1.763 μB per formula unit. For the calculated volume, the calculation gives 209.4 Å³ per cell. As for the calculated formation energy: -3.228 eV/f.u.

Cell: 9.1961 9.1961 9.1961 Å, 33.36 33.36 33.36°
Closest atoms and distances in Å follow each position.
Atoms (fractional coordinates):
Ca 0.0000 0.0000 0.0000  8 Hg 3.23-3.25
Ce 0.2464 0.2464 0.2464  8 Hg 3.17-3.35
Ce 0.7536 0.7536 0.7536  8 Hg 3.17-3.35
Mg 0.5000 0.5000 0.5000  8 Hg 3.24-3.26
Hg 0.1247 0.1247 0.1247  4 Ce 3.17-3.20, 3 Mg 3.24, 1 Ca 3.25
Hg 0.3749 0.3749 0.3749  3 Ca 3.23, 1 Mg 3.26, 4 Ce 3.27-3.35
Hg 0.6251 0.6251 0.6251  3 Ca 3.23, 1 Mg 3.26, 4 Ce 3.27-3.35
Hg 0.8753 0.8753 0.8753  4 Ce 3.17-3.20, 3 Mg 3.24, 1 Ca 3.25



5.
Material: CaCeMg2Hg4
Method: DFT, PBE-GGA
State: optimized geometry

The value obtained for the magnetization is 0.819 μB per formula unit. For the calculated volume, the calculation gives 194.8 Å³ per cell. As for the calculated formation energy: -3.224 eV/f.u.

Cell: 9.0661 9.0661 9.0661 Å, 32.82 32.82 32.82°
Closest atoms and distances in Å follow each position.
Atoms (fractional coordinates):
Ca 0.0000 0.0000 0.0000  8 Hg 3.13-3.14
Ce 0.5000 0.5000 0.5000  8 Hg 3.17-3.22
Mg 0.2498 0.2498 0.2498  8 Hg 3.12-3.29
Mg 0.7502 0.7502 0.7502  8 Hg 3.12-3.29
Hg 0.1219 0.1219 0.1219  4 Mg 3.12-3.29, 1 Ca 3.13, 3 Ce 3.17
Hg 0.3749 0.3749 0.3749  3 Ca 3.14, 4 Mg 3.15-3.22, 1 Ce 3.22
Hg 0.6251 0.6251 0.6251  3 Ca 3.14, 4 Mg 3.15-3.22, 1 Ce 3.22
Hg 0.8781 0.8781 0.8781  4 Mg 3.12-3.29, 1 Ca 3.13, 3 Ce 3.17



6.
Material: CaCeMg2Hg2
Method: DFT, PBE-GGA
State: optimized geometry

The value obtained for the magnetization is 0.937 μB per formula unit. For the calculated volume, the calculation gives 157.1 Å³ per cell. As for the calculated formation energy: -1.813 eV/f.u.

Cell: 4.9955 4.9955 7.2696 Å, 90.00 90.00 120.00°
Closest atoms and distances in Å follow each position.
Atoms (fractional coordinates):
Ca 0.0000 0.0000 0.0000  6 Mg 3.46, 6 Hg 3.50, 2 Ce 3.63
Ce 0.0000 0.0000 0.5000  6 Hg 3.32, 6 Mg 3.36, 2 Ca 3.63
Mg 0.3333 0.6667 0.2623  3 Hg 2.89
Mg 0.6667 0.3333 0.7377  3 Hg 2.89
Hg 0.3333 0.6667 0.7262  3 Mg 2.89
Hg 0.6667 0.3333 0.2738  3 Mg 2.89



7.
Material: CaCeMgHg
Method: DFT, PBE-GGA
State: optimized geometry

The value obtained for the magnetization is 0.902 μB per formula unit. For the calculated volume, the calculation gives 113.2 Å³ per cell. As for the calculated formation energy: -0.777 eV/f.u.

Cell: 5.4301 5.4301 5.4301 Å, 60.00 60.00 60.00°
Closest atoms and distances in Å follow each position.
Atoms (fractional coordinates):
Ca 0.0000 0.0000 0.0000  4 Hg 3.33, 4 Mg 3.33
Ce 0.5000 0.5000 0.5000  4 Hg 3.33, 4 Mg 3.33
Mg 0.2500 0.2500 0.2500  4 Ce 3.33, 4 Ca 3.33
Hg 0.7500 0.7500 0.7500  4 Ca 3.33, 4 Ce 3.33



8.
Material: NaCaCeHg
Method: DFT, PBE-GGA
State: optimized geometry

The value obtained for the magnetization is 1.051 μB per formula unit. For the calculated volume, the calculation gives 118.3 Å³ per cell. As for the calculated formation energy: -0.164 eV/f.u.

Cell: 5.5103 5.5103 5.5103 Å, 60.00 60.00 60.00°
Closest atoms and distances in Å follow each position.
Atoms (fractional coordinates):
Na 0.0000 0.0000 0.0000  4 Ce 3.37, 4 Ca 3.37
Ca 0.7500 0.7500 0.7500  4 Hg 3.37, 4 Na 3.37
Ce 0.2500 0.2500 0.2500  4 Hg 3.37, 4 Na 3.37
Hg 0.5000 0.5000 0.5000  4 Ce 3.37, 4 Ca 3.37